# 1
The following is a DFT calculation (PBE) of a relaxed PmDyTm2S4 crystal.

Lattice parameters (Å, degrees): 3.855 6.856 6.741 71.19 90.00 90.00
Fractional positions:
Pm1 0.500 0.500 0.000
Dy1 0.000 0.500 0.500
Tm1 0.000 0.000 0.000
Tm2 0.500 0.000 0.500
S1 0.000 0.765 0.740
S2 0.000 0.235 0.260
S3 0.500 0.761 0.251
S4 0.500 0.239 0.749

Output
- Formation energy (no corrections): -1971 meV/atom
- Space group: P2/m (10)
- M_tot: 0.0 μB per cell

=====

# 2
The following is a DFT calculation (PBE) of a relaxed YZnH2 crystal.

Lattice parameters (Å, degrees): 4.068 4.068 4.068 60.00 60.00 60.00
Fractional positions:
Y1 0.500 0.500 0.500
H1 0.250 0.250 0.250
H2 0.750 0.750 0.750
Zn1 0.000 0.000 0.000

Output
- Relative energy among the computed polymorphs: 0 meV/atom
- Space group: Fm-3m (225)
- M_tot: 0.0 μB per cell

=====

# 3
The following is a DFT calculation (PBE) of a relaxed Sc3N crystal.

Lattice parameters (Å, degrees): 3.021 5.452 5.467 119.91 106.04 90.00
Fractional positions:
Sc1 0.334 0.712 0.668
Sc2 0.500 0.348 0.000
Sc3 0.666 0.044 0.332
N1 0.000 0.064 0.000

Output
- Relative energy among the computed polymorphs: 191 meV/atom
- Formation energy (no corrections): -611 meV/atom
- Space group: Imm2 (44)
- M_tot: 0.0 μB per cell

=====

# 4
The following is a DFT calculation (PBE) of a relaxed Tb3MnB7 crystal.

Lattice parameters (Å, degrees): 8.104 8.104 9.338 90.00 90.00 155.43
Site moments in Bohr magnetons follow the coordinates.
Fractional positions:
Tb1 0.896 0.104 0.439  -0.03
Tb2 0.104 0.896 0.561  -0.03
Tb3 0.896 0.104 0.061  -0.03
Tb4 0.104 0.896 0.939  -0.03
Tb5 0.240 0.760 0.250  -0.04
Tb6 0.760 0.240 0.750  -0.04
Mn1 0.054 0.946 0.250  0.29
Mn2 0.946 0.054 0.750  0.29
B1 0.727 0.273 0.468  0.00
B2 0.273 0.727 0.532  0.00
B3 0.727 0.273 0.032  0.00
B4 0.273 0.727 0.968  0.00
B5 0.630 0.370 0.153  0.00
B6 0.370 0.630 0.847  0.00
B7 0.630 0.370 0.347  0.00
B8 0.370 0.630 0.653  0.00
B9 0.522 0.478 0.099  -0.01
B10 0.478 0.522 0.901  -0.01
B11 0.522 0.478 0.401  -0.01
B12 0.478 0.522 0.599  -0.01
B13 0.461 0.539 0.250  0.00
B14 0.539 0.461 0.750  0.00

Output
- ΔE_f: -6.39 eV/f.u.
- Space group: Cmcm (63)
- M_tot: 0.3 μB per cell

=====

# 5
The following is a DFT calculation (PBE) of a relaxed Fe2TeMo crystal.

Lattice parameters (Å, degrees): 2.865 2.865 8.411 90.00 90.00 108.33
Site moments in Bohr magnetons follow the coordinates.
Fractional positions:
Fe1 0.000 0.000 0.023  2.36
Fe2 0.000 0.000 0.477  2.36
Mo1 0.500 0.500 0.250  -0.22
Te1 0.500 0.500 0.750  -0.01

Output
- Relative energy among the computed polymorphs: 253 meV/atom
- Formation energy (no corrections): 594 meV/atom
- Space group: Cmmm (65)
- M_tot: 4.5 μB per cell

=====

# 6
The following is a DFT calculation (PBE) of a relaxed NdAgPt4 crystal.

Lattice parameters (Å, degrees): 5.407 5.407 5.407 60.00 60.00 60.00
Fractional positions:
Nd1 0.250 0.250 0.250
Ag1 0.000 0.000 0.000
Pt1 0.626 0.626 0.123
Pt2 0.626 0.123 0.626
Pt3 0.626 0.626 0.626
Pt4 0.123 0.626 0.626

Output
- ΔE_f: -4.19 eV/f.u.
- Space group: F-43m (216)
- M_tot: 0.0 μB per cell

=====

# 7
The following is a DFT calculation (PBE) of a relaxed AcNd2Cu crystal.

Lattice parameters (Å, degrees): 3.840 3.840 10.502 79.47 79.47 60.00
Fractional positions:
Ac1 0.500 0.500 0.500
Nd1 0.269 0.269 0.192
Nd2 0.731 0.731 0.808
Cu1 0.000 0.000 0.000

Output
- Relative energy among the computed polymorphs: 108 meV/atom
- ΔE_f: 0.25 eV/f.u.
- Space group: R-3m (166)
- M_tot: 0.0 μB per cell

=====

# 8
The following is a DFT calculation (PBE) of a relaxed LaFe2Te crystal.

Lattice parameters (Å, degrees): 4.241 5.512 4.557 66.33 88.22 111.83
Site moments in Bohr magnetons follow the coordinates.
Fractional positions:
Fe1 0.000 0.000 0.000  2.53
Fe2 0.500 0.000 0.500  2.53
La1 0.000 0.500 0.500  -0.24
Te1 0.500 0.500 0.000  0.02

Output
- Formation energy (no corrections): 266 meV/atom
- Space group: C2/m (12)
- M_tot: 4.7 μB per cell

=====

# 9
The following is a DFT calculation (PBE) of a relaxed Mg2InW crystal.

Lattice parameters (Å, degrees): 5.186 5.186 5.383 82.40 82.40 32.61
Fractional positions:
In1 0.247 0.247 0.269
Mg1 0.998 0.998 0.993
Mg2 0.756 0.756 0.738
W1 0.500 0.500 0.499

Output
- ΔE_f: 1.55 eV/f.u.
- Space group: Cm (8)
- M_tot: 0.0 μB per cell

=====

# 10
The following is a DFT calculation (PBE) of a relaxed Pm2CoTcGe6 crystal.

Lattice parameters (Å, degrees): 7.289 7.289 10.190 69.04 69.04 60.00
Fractional positions:
Pm1 0.865 0.865 0.406
Pm2 0.135 0.135 0.594
Pm3 0.707 0.707 0.880
Pm4 0.293 0.293 0.120
Co1 0.603 0.603 0.190
Co2 0.397 0.397 0.810
Tc1 0.000 0.000 0.000
Tc2 0.500 0.500 0.500
Ge1 0.875 0.390 0.345
Ge2 0.390 0.875 0.345
Ge3 0.390 0.390 0.345
Ge4 0.125 0.610 0.655
Ge5 0.610 0.125 0.655
Ge6 0.610 0.610 0.655
Ge7 0.737 0.209 0.845
Ge8 0.209 0.737 0.845
Ge9 0.209 0.209 0.845
Ge10 0.263 0.791 0.155
Ge11 0.791 0.263 0.155
Ge12 0.791 0.791 0.155

Output
- ΔE_f: -2.11 eV/f.u.
- Space group: R-3m (166)
- M_tot: 0.0 μB per cell

=====

# 11
The following is a DFT calculation (PBE) of a relaxed KSb2Mo crystal.

Lattice parameters (Å, degrees): 4.876 4.876 4.376 90.00 90.00 90.00
Site moments in Bohr magnetons follow the coordinates.
Fractional positions:
K1 0.500 0.000 0.500  0.02
Mo1 0.000 0.500 0.500  3.01
Sb1 0.000 0.000 0.000  -0.06
Sb2 0.500 0.500 0.000  -0.06

Output
- Relative energy among the computed polymorphs: 725 meV/atom
- Formation energy (no corrections): 641 meV/atom
- Space group: P4/mmm (123)
- M_tot: 3.5 μB per cell

=====

# 12
The following is a DFT calculation (PBE) of a relaxed La6ZnPt crystal.

Lattice parameters (Å, degrees): 6.964 6.960 7.987 64.06 64.12 60.05
Fractional positions:
La1 0.054 0.430 0.735
La2 0.780 0.054 0.736
La3 0.571 0.219 0.265
La4 0.220 0.946 0.264
La5 0.946 0.570 0.265
La6 0.429 0.781 0.735
Zn1 0.500 0.500 0.500
Pt1 0.000 0.000 0.000

Output
- Relative energy among the computed polymorphs: 122 meV/atom
- ΔE_f: -1.67 eV/f.u.
- Space group: P-1 (2)
- M_tot: 0.0 μB per cell

=====

no.,E (eV/cell),theoretical density (g/cm3)
1,-50.6,7.62
2,-15.0,5.45
3,-29.8,3.34
4,-152.4,7.91
5,-28.5,8.50
6,-36.0,15.34
7,-17.5,7.33
8,-23.9,7.10
9,-17.3,7.46
10,-113.6,6.87
11,-17.6,6.04
12,-38.6,6.27